Entry 1:
Computed, not measured: an optimized crystal structure of K2CdIn12Pd3 at the PBE level of DFT.

Cell lengths 8.765, 8.765, 8.765 Å; angles 69.76, 69.76, 69.76 degrees
Sites, in units of the cell vectors:
Pd (0.000, 0.000, 0.500)
Pd (0.000, 0.500, 0.000)
Pd (0.500, 0.000, 0.000)
In (0.855, 0.855, 0.381)
In (0.619, 0.145, 0.145)
In (0.890, 0.255, 0.255)
In (0.255, 0.890, 0.255)
In (0.145, 0.145, 0.619)
In (0.381, 0.855, 0.855)
In (0.745, 0.745, 0.110)
In (0.110, 0.745, 0.745)
In (0.255, 0.255, 0.890)
In (0.745, 0.110, 0.745)
In (0.145, 0.619, 0.145)
In (0.855, 0.381, 0.855)
K (0.410, 0.410, 0.410)
K (0.590, 0.590, 0.590)
Cd (0.000, 0.000, 0.000)

Output
E_form ... -0.06 eV per atom
Space-group type ... R-3m (166)



Entry 2:
Computed, not measured: an optimized crystal structure of KCd2InPd at the PBE level of DFT.

Cell lengths 5.337, 5.337, 5.181 Å; angles 90.00, 90.00, 90.00 degrees
Sites, in units of the cell vectors:
K (0.500, 0.500, 0.500)
Cd (0.000, 0.500, 0.000)
Cd (0.500, 0.000, 0.000)
In (0.000, 0.000, 0.500)
Pd (0.000, 0.000, 0.000)

Output
E_form ... -0.20 eV per atom
Space-group type ... P4/mmm (123)



Entry 3:
Computed, not measured: an optimized crystal structure of KCd2InPt at the PBE level of DFT.

Cell lengths 5.350, 5.350, 5.178 Å; angles 90.00, 90.00, 90.00 degrees
Sites, in units of the cell vectors:
In (0.000, 0.000, 0.500)
K (0.500, 0.500, 0.500)
Cd (0.000, 0.500, 0.000)
Cd (0.500, 0.000, 0.000)
Pt (0.000, 0.000, 0.000)

Output
E_form ... -0.28 eV per atom
Space-group type ... P4/mmm (123)



Entry 4:
Computed, not measured: an optimized crystal structure of K2CdInPt at the PBE level of DFT.

Cell lengths 6.200, 6.200, 5.187 Å; angles 90.00, 90.00, 90.00 degrees
Sites, in units of the cell vectors:
K (0.500, 0.000, 0.000)
K (0.000, 0.500, 0.000)
In (0.000, 0.000, 0.500)
Cd (0.500, 0.500, 0.500)
Pt (0.000, 0.000, 0.000)

Output
E_form ... -0.05 eV per atom
Space-group type ... P4/mmm (123)



Entry 5:
Computed, not measured: an optimized crystal structure of K2CdIn12Pt3 at the PBE level of DFT.

Cell lengths 8.750, 8.750, 8.750 Å; angles 71.25, 71.25, 71.25 degrees
Sites, in units of the cell vectors:
In (0.740, 0.740, 0.094)
In (0.144, 0.144, 0.628)
In (0.372, 0.856, 0.856)
In (0.260, 0.260, 0.906)
In (0.906, 0.260, 0.260)
In (0.740, 0.094, 0.740)
In (0.094, 0.740, 0.740)
In (0.856, 0.372, 0.856)
In (0.628, 0.144, 0.144)
In (0.260, 0.906, 0.260)
In (0.856, 0.856, 0.372)
In (0.144, 0.628, 0.144)
Pt (0.000, 0.000, 0.500)
Pt (0.500, 0.000, 0.000)
Pt (0.000, 0.500, 0.000)
K (0.593, 0.593, 0.593)
K (0.407, 0.407, 0.407)
Cd (0.000, 0.000, 0.000)

Output
E_form ... -0.10 eV per atom
Space-group type ... R-3m (166)



Entry 6:
Computed, not measured: an optimized crystal structure of K2RbCd2In at the PBE level of DFT.

Cell lengths 5.596, 9.149, 9.543 Å; angles 90.00, 90.00, 90.00 degrees
Sites, in units of the cell vectors:
In (0.500, 0.638, 0.293)
In (0.500, 0.138, 0.707)
Cd (0.500, 0.305, 0.416)
Cd (0.000, 0.724, 0.195)
Cd (0.500, 0.805, 0.584)
Cd (0.000, 0.224, 0.805)
K (0.500, 0.503, 0.899)
K (0.500, 0.003, 0.101)
K (0.000, 0.852, 0.842)
K (0.000, 0.352, 0.158)
Rb (0.000, 0.524, 0.550)
Rb (0.000, 0.024, 0.450)

Output
E_form ... -0.03 eV per atom
Space-group type ... Pmc2_1 (26)



Entry 7:
Computed, not measured: an optimized crystal structure of KRb2CdIn at the PBE level of DFT.

Cell lengths 7.241, 7.241, 5.689 Å; angles 90.00, 90.00, 90.00 degrees
Sites, in units of the cell vectors:
Cd (0.000, 0.000, 0.500)
Rb (0.500, 0.000, 0.000)
Rb (0.000, 0.500, 0.000)
In (0.000, 0.000, 0.000)
K (0.500, 0.500, 0.500)

Output
E_form ... 0.09 eV per atom
Space-group type ... P4/mmm (123)



Entry 8:
Computed, not measured: an optimized crystal structure of KRb2CdIn at the PBE level of DFT.

Cell lengths 7.120, 7.120, 5.697 Å; angles 90.00, 90.00, 90.00 degrees
Sites, in units of the cell vectors:
Cd (0.000, 0.000, 0.000)
In (0.000, 0.000, 0.500)
Rb (0.000, 0.500, 0.000)
Rb (0.500, 0.000, 0.000)
K (0.500, 0.500, 0.500)

Output
E_form ... 0.07 eV per atom
Space-group type ... P4/mmm (123)



Entry 9:
Computed, not measured: an optimized crystal structure of KCdIn2Re at the PBE level of DFT.

Cell lengths 5.270, 5.395, 5.270 Å; angles 90.00, 90.00, 90.00 degrees
Sites, in units of the cell vectors:
K (0.500, 0.500, 0.500)
Re (0.000, 0.000, 0.000)
In (0.000, 0.000, 0.500)
In (0.500, 0.000, 0.000)
Cd (0.000, 0.500, 0.000)

Output
E_form ... 0.30 eV per atom
Space-group type ... P4/mmm (123)



Entry 10:
Computed, not measured: an optimized crystal structure of KCd2InRu at the PBE level of DFT.

Cell lengths 5.316, 5.316, 5.163 Å; angles 90.00, 90.00, 90.00 degrees
Sites, in units of the cell vectors:
Cd (0.500, 0.000, 0.000)
Cd (0.000, 0.500, 0.000)
Ru (0.000, 0.000, 0.000)
In (0.000, 0.000, 0.500)
K (0.500, 0.500, 0.500)

Output
E_form ... 0.06 eV per atom
Space-group type ... P4/mmm (123)



Entry 11:
Computed, not measured: an optimized crystal structure of KCd2InS4 at the PBE level of DFT.

Cell lengths 7.077, 7.077, 7.077 Å; angles 125.44, 125.44, 80.80 degrees
Sites, in units of the cell vectors:
S (0.077, 0.077, 0.432)
S (0.355, 0.923, 0.000)
S (0.645, 0.645, 0.568)
S (0.923, 0.355, 0.000)
Cd (0.250, 0.750, 0.500)
Cd (0.750, 0.250, 0.500)
In (0.000, 0.000, 0.000)
K (0.500, 0.500, 0.000)

Output
Energy relative to the elements, uncorrected ... -0.72 eV/atom
Space-group type ... I-42m (121)



Entry 12:
Computed, not measured: an optimized crystal structure of K2CdInS at the PBE level of DFT.

Cell lengths 6.404, 5.270, 6.404 Å; angles 90.00, 90.00, 90.00 degrees
Sites, in units of the cell vectors:
In (0.000, 0.000, 0.000)
K (0.500, 0.000, 0.000)
K (0.000, 0.000, 0.500)
Cd (0.000, 0.500, 0.000)
S (0.500, 0.500, 0.500)

Output
Energy relative to the elements, uncorrected ... 0.19 eV/atom
Space-group type ... P4/mmm (123)